Record 1
Below is an optimized crystal structure of Li2Hg3Pb2, with properties calculated at the PBE level.

a b c (Å): 3.3857 3.2803 14.9019
angles (deg): 90.00 83.48 90.00
Last column: nearest neighbours and their distance in Å.
Positions (direct):
1 Li 0.4407 0.5000 0.1186  8 Hg 2.87-2.94
2 Li 0.5593 0.5000 0.8814  8 Hg 2.87-2.94
3 Pb 0.6987 0.5000 0.6026  6 Pb 3.28-3.48, 4 Hg 3.43
4 Pb 0.3013 0.5000 0.3974  6 Pb 3.28-3.48, 4 Hg 3.43
5 Hg 0.8855 0.0000 0.2289  4 Li 2.87
6 Hg 0.1145 0.0000 0.7711  4 Li 2.87
7 Hg 0.0000 0.0000 0.0000  8 Li 2.94, 2 Hg 3.28

Summary:
ΔE to the lowest computed polymorph   0 meV/atom

Record 2
Below is an optimized crystal structure of Li2Hg8Pb, with properties calculated at the PBE level.

a b c (Å): 6.1650 6.3994 7.5809
angles (deg): 98.57 113.74 93.77
Last column: nearest neighbours and their distance in Å.
Positions (direct):
1 Hg 0.2553 0.8348 0.4139  2 Li 2.92-2.95, 5 Hg 3.11-3.23
2 Hg 0.5831 0.5929 0.7360  2 Li 2.97-3.09, 6 Hg 3.12-3.31, 1 Pb 3.29
3 Hg 0.6030 0.8865 0.1741  1 Li 2.88, 2 Hg 3.06-3.11
4 Hg 0.1531 0.5439 0.8521  2 Li 2.88-3.09, 3 Hg 3.12-3.17
5 Hg 0.8469 0.4561 0.1479  2 Li 2.88-3.09, 3 Hg 3.12-3.17
6 Hg 0.7447 0.1652 0.5861  2 Li 2.92-2.95, 5 Hg 3.11-3.23
7 Hg 0.3970 0.1135 0.8259  1 Li 2.88, 2 Hg 3.06-3.11
8 Hg 0.4169 0.4071 0.2640  2 Li 2.97-3.09, 6 Hg 3.12-3.31, 1 Pb 3.29
9 Pb 0.0000 0.0000 0.0000  10 Hg 3.27-3.57, 2 Li 3.48
10 Li 0.8675 0.7308 0.5271  7 Hg 2.88-3.09
11 Li 0.1325 0.2692 0.4729  7 Hg 2.88-3.09

Record 3
Below is an optimized crystal structure of Li7Hg2Pb, with properties calculated at the PBE level.

a b c (Å): 4.6730 4.6730 10.2828
angles (deg): 90.00 90.00 120.00
Last column: nearest neighbours and their distance in Å.
Positions (direct):
1 Li 0.0000 0.0000 0.3316  3 Hg 2.77, 3 Li 2.84, 1 Pb 3.04
2 Li 0.3333 0.6667 0.1640  2 Li 2.50-2.61
3 Li 0.6667 0.3333 0.5558  4 Hg 2.92-2.95, 6 Li 3.05-3.23
4 Li 0.6667 0.3333 0.8850  3 Li 2.72
5 Li 0.3333 0.6667 0.9207  4 Li 2.50-2.72, 1 Hg 2.55
6 Li 0.3333 0.6667 0.4176  4 Li 2.61-2.84, 1 Hg 2.62
7 Li 0.0000 0.0000 0.7291  3 Hg 2.76
8 Hg 0.6667 0.3333 0.2717  10 Li 2.77-3.09
9 Hg 0.3333 0.6667 0.6724  5 Li 2.55-2.76
10 Pb 0.0000 0.0000 0.0355  11 Li 2.95-3.15

Summary:
ΔE to the lowest computed polymorph   0 meV/atom

Record 4
Below is an optimized crystal structure of LiHg2Pb, with properties calculated at the PBE level.

a b c (Å): 5.4208 6.3622 3.3685
angles (deg): 74.65 90.00 115.21
Last column: nearest neighbours and their distance in Å.
Positions (direct):
1 Hg 0.5000 0.0000 0.5000  2 Pb 3.18, 2 Li 3.18, 6 Hg 3.19-3.37
2 Hg 0.0000 0.0000 0.0000  2 Li 3.18, 2 Pb 3.18, 6 Hg 3.19-3.37
3 Li 0.0000 0.5000 0.5000  4 Hg 3.18, 4 Pb 3.19, 2 Li 3.37
4 Pb 0.5000 0.5000 0.0000  4 Hg 3.18, 4 Li 3.19, 2 Pb 3.37

For each record above, in turn, the calculated total magnetization values are 0.00, 0.00, 0.00, 0.00 μB/cell.
For each record above, in turn, the calculated ΔH_f (0 K) values are -0.198, -0.111, -0.226, -0.098 eV/atom.